Record 1
Compound: Sm2Y2CI2Br2Cl
Source: OQMD via LeMat-Bulk
Functional: PBE
Structure: relaxed

```
data_Sm2Y2CI2Br2Cl
_symmetry_space_group_name_H-M 'P 1'
_symmetry_Int_Tables_number 1
_cell_length_a 9.622
_cell_length_b 9.622
_cell_length_c 8.122
_cell_angle_alpha 102.72
_cell_angle_beta 102.72
_cell_angle_gamma 23.37
loop_
_symmetry_equiv_pos_as_xyz
'x,y,z'
loop_
_atom_site_label
_atom_site_fract_x
_atom_site_fract_y
_atom_site_fract_z
Br1 0.161 0.161 0.339
Br2 0.839 0.839 0.661
C1 0.500 0.500 0.000
Cl1 0.500 0.500 0.500
I1 0.829 0.829 0.186
I2 0.171 0.171 0.814
Sm1 0.000 0.000 0.212
Sm2 0.000 0.000 0.788
Y1 0.632 0.632 0.073
Y2 0.368 0.368 0.927
```

Calculated values
- energy above the most stable polymorph in this dataset (eV/f.u.) = 0.00
- ρ (Mg/m³) = 5.369
- space-group type = C2/m

=====

Record 2
Compound: Ir2CBrCl
Source: OQMD via LeMat-Bulk
Functional: PBE
Structure: relaxed

```
data_Ir2CBrCl
_symmetry_space_group_name_H-M 'P 1'
_symmetry_Int_Tables_number 1
_cell_length_a 3.383
_cell_length_b 3.383
_cell_length_c 9.146
_cell_angle_alpha 90.00
_cell_angle_beta 90.00
_cell_angle_gamma 120.00
loop_
_symmetry_equiv_pos_as_xyz
'x,y,z'
loop_
_atom_site_label
_atom_site_fract_x
_atom_site_fract_y
_atom_site_fract_z
Br1 0.000 0.000 0.189
C1 0.333 0.667 0.504
Cl1 0.667 0.333 0.800
Ir1 0.667 0.333 0.397
Ir2 0.000 0.000 0.609
```

Calculated values
- raw total energy (eV per atom) = -5.553
- ρ (Mg/m³) = 9.376
- space-group type = P3m1

=====

Record 3
Compound: La2Nd2CBr3Cl2
Source: OQMD via LeMat-Bulk
Functional: PBE
Structure: relaxed

```
data_La2Nd2CBr3Cl2
_symmetry_space_group_name_H-M 'P 1'
_symmetry_Int_Tables_number 1
_cell_length_a 9.477
_cell_length_b 9.477
_cell_length_c 8.379
_cell_angle_alpha 105.57
_cell_angle_beta 105.57
_cell_angle_gamma 24.22
loop_
_symmetry_equiv_pos_as_xyz
'x,y,z'
loop_
_atom_site_label
_atom_site_fract_x
_atom_site_fract_y
_atom_site_fract_z
Br1 0.832 0.832 0.170
Br2 0.500 0.500 0.500
Br3 0.168 0.168 0.830
C1 0.500 0.500 0.000
Cl1 0.159 0.159 0.347
Cl2 0.841 0.841 0.653
La1 0.645 0.645 0.092
La2 0.355 0.355 0.908
Nd1 0.000 0.000 0.207
Nd2 0.000 0.000 0.793
```

Calculated values
- energy above the most stable polymorph in this dataset (eV/f.u.) = 0.00
- ρ (Mg/m³) = 4.973
- space-group type = C2/m

=====

Record 4
Compound: La2Nd2CBr3Cl2
Source: OQMD via LeMat-Bulk
Functional: PBE
Structure: relaxed

```
data_La2Nd2CBr3Cl2
_symmetry_space_group_name_H-M 'P 1'
_symmetry_Int_Tables_number 1
_cell_length_a 9.203
_cell_length_b 9.203
_cell_length_c 8.588
_cell_angle_alpha 103.33
_cell_angle_beta 103.33
_cell_angle_gamma 25.07
loop_
_symmetry_equiv_pos_as_xyz
'x,y,z'
loop_
_atom_site_label
_atom_site_fract_x
_atom_site_fract_y
_atom_site_fract_z
Br1 0.169 0.169 0.343
Br2 0.500 0.500 0.500
Br3 0.831 0.831 0.657
C1 0.500 0.500 0.000
Cl1 0.826 0.826 0.139
Cl2 0.174 0.174 0.861
La1 0.996 0.996 0.206
La2 0.004 0.004 0.794
Nd1 0.645 0.645 0.081
Nd2 0.355 0.355 0.919
```

Calculated values
- energy above the most stable polymorph in this dataset (eV/f.u.) = 0.05
- ρ (Mg/m³) = 4.929
- space-group type = C2/m

=====

Record 5
Compound: La2Nd2CBr3Cl2
Source: OQMD via LeMat-Bulk
Functional: PBE
Structure: relaxed

```
data_La2Nd2CBr3Cl2
_symmetry_space_group_name_H-M 'P 1'
_symmetry_Int_Tables_number 1
_cell_length_a 9.417
_cell_length_b 9.417
_cell_length_c 8.568
_cell_angle_alpha 104.26
_cell_angle_beta 104.26
_cell_angle_gamma 24.46
loop_
_symmetry_equiv_pos_as_xyz
'x,y,z'
loop_
_atom_site_label
_atom_site_fract_x
_atom_site_fract_y
_atom_site_fract_z
Br1 0.828 0.828 0.160
Br2 0.500 0.500 0.500
Br3 0.172 0.172 0.840
C1 0.500 0.500 0.000
Cl1 0.163 0.163 0.324
Cl2 0.837 0.837 0.676
La1 0.000 0.000 0.209
La2 0.000 0.000 0.791
Nd1 0.642 0.642 0.081
Nd2 0.358 0.358 0.919
```

Calculated values
- energy above the most stable polymorph in this dataset (eV/f.u.) = 0.05
- ρ (Mg/m³) = 4.848
- space-group type = C2/m

=====

Record 6
Compound: La2Nd2CBr3Cl2
Source: OQMD via LeMat-Bulk
Functional: PBE
Structure: relaxed

```
data_La2Nd2CBr3Cl2
_symmetry_space_group_name_H-M 'P 1'
_symmetry_Int_Tables_number 1
_cell_length_a 9.247
_cell_length_b 9.247
_cell_length_c 8.419
_cell_angle_alpha 104.07
_cell_angle_beta 104.07
_cell_angle_gamma 24.85
loop_
_symmetry_equiv_pos_as_xyz
'x,y,z'
loop_
_atom_site_label
_atom_site_fract_x
_atom_site_fract_y
_atom_site_fract_z
Br1 0.165 0.165 0.359
Br2 0.500 0.500 0.500
Br3 0.835 0.835 0.641
C1 0.500 0.500 0.000
Cl1 0.831 0.831 0.156
Cl2 0.169 0.169 0.844
La1 0.647 0.647 0.085
La2 0.353 0.353 0.915
Nd1 0.997 0.997 0.204
Nd2 0.003 0.003 0.796
```

Calculated values
- energy above the most stable polymorph in this dataset (eV/f.u.) = 0.03
- ρ (Mg/m³) = 5.038
- space-group type = C2/m

=====

Record 7
Compound: La2Pr2CBr3Cl2
Source: OQMD via LeMat-Bulk
Functional: PBE
Structure: relaxed

```
data_La2Pr2CBr3Cl2
_symmetry_space_group_name_H-M 'P 1'
_symmetry_Int_Tables_number 1
_cell_length_a 9.486
_cell_length_b 9.486
_cell_length_c 8.565
_cell_angle_alpha 104.65
_cell_angle_beta 104.65
_cell_angle_gamma 24.33
loop_
_symmetry_equiv_pos_as_xyz
'x,y,z'
loop_
_atom_site_label
_atom_site_fract_x
_atom_site_fract_y
_atom_site_fract_z
Br1 0.829 0.829 0.161
Br2 0.500 0.500 0.500
Br3 0.171 0.171 0.839
C1 0.500 0.500 0.000
Cl1 0.162 0.162 0.329
Cl2 0.838 0.838 0.671
La1 0.000 0.000 0.209
La2 0.000 0.000 0.791
Pr1 0.642 0.642 0.084
Pr2 0.358 0.358 0.916
```

Calculated values
- energy above the most stable polymorph in this dataset (eV/f.u.) = 0.05
- ρ (Mg/m³) = 4.776
- space-group type = C2/m

=====

Record 8
Compound: La2Pr2CBrCl4
Source: OQMD via LeMat-Bulk
Functional: PBE
Structure: relaxed

```
data_La2Pr2CBrCl4
_symmetry_space_group_name_H-M 'P 1'
_symmetry_Int_Tables_number 1
_cell_length_a 9.239
_cell_length_b 9.239
_cell_length_c 8.452
_cell_angle_alpha 105.33
_cell_angle_beta 105.33
_cell_angle_gamma 24.89
loop_
_symmetry_equiv_pos_as_xyz
'x,y,z'
loop_
_atom_site_label
_atom_site_fract_x
_atom_site_fract_y
_atom_site_fract_z
Br1 0.500 0.500 0.500
C1 0.500 0.500 0.000
Cl1 0.830 0.830 0.149
Cl2 0.163 0.163 0.343
Cl3 0.837 0.837 0.657
Cl4 0.170 0.170 0.851
La1 0.648 0.648 0.091
La2 0.352 0.352 0.909
Pr1 0.998 0.998 0.206
Pr2 0.002 0.002 0.794
```

Calculated values
- energy above the most stable polymorph in this dataset (eV/f.u.) = 0.00
- ρ (Mg/m³) = 4.507
- space-group type = C2/m

=====

Record 9
Compound: La2Pr2CBr2Cl3
Source: OQMD via LeMat-Bulk
Functional: PBE
Structure: relaxed

```
data_La2Pr2CBr2Cl3
_symmetry_space_group_name_H-M 'P 1'
_symmetry_Int_Tables_number 1
_cell_length_a 9.257
_cell_length_b 9.257
_cell_length_c 8.333
_cell_angle_alpha 103.21
_cell_angle_beta 103.21
_cell_angle_gamma 24.83
loop_
_symmetry_equiv_pos_as_xyz
'x,y,z'
loop_
_atom_site_label
_atom_site_fract_x
_atom_site_fract_y
_atom_site_fract_z
Br1 0.167 0.167 0.357
Br2 0.833 0.833 0.643
C1 0.500 0.500 0.000
Cl1 0.828 0.828 0.152
Cl2 0.500 0.500 0.500
Cl3 0.172 0.172 0.848
La1 0.996 0.996 0.214
La2 0.004 0.004 0.786
Pr1 0.645 0.645 0.083
Pr2 0.355 0.355 0.917
```

Calculated values
- energy above the most stable polymorph in this dataset (eV/f.u.) = 0.05
- ρ (Mg/m³) = 4.773
- space-group type = C2/m

=====

Record 10
Compound: La2Pr2CBr2Cl3
Source: OQMD via LeMat-Bulk
Functional: PBE
Structure: relaxed

```
data_La2Pr2CBr2Cl3
_symmetry_space_group_name_H-M 'P 1'
_symmetry_Int_Tables_number 1
_cell_length_a 9.278
_cell_length_b 9.278
_cell_length_c 8.211
_cell_angle_alpha 103.43
_cell_angle_beta 103.43
_cell_angle_gamma 24.77
loop_
_symmetry_equiv_pos_as_xyz
'x,y,z'
loop_
_atom_site_label
_atom_site_fract_x
_atom_site_fract_y
_atom_site_fract_z
Br1 0.165 0.165 0.365
Br2 0.835 0.835 0.635
C1 0.500 0.500 0.000
Cl1 0.830 0.830 0.161
Cl2 0.500 0.500 0.500
Cl3 0.170 0.170 0.839
La1 0.646 0.646 0.084
La2 0.354 0.354 0.916
Pr1 0.997 0.997 0.213
Pr2 0.003 0.003 0.787
```

Calculated values
- energy above the most stable polymorph in this dataset (eV/f.u.) = 0.04
- ρ (Mg/m³) = 4.835
- space-group type = C2/m

=====

Record 11
Compound: La2Pr2CBr3Cl2
Source: OQMD via LeMat-Bulk
Functional: PBE
Structure: relaxed

```
data_La2Pr2CBr3Cl2
_symmetry_space_group_name_H-M 'P 1'
_symmetry_Int_Tables_number 1
_cell_length_a 9.270
_cell_length_b 9.270
_cell_length_c 8.454
_cell_angle_alpha 103.79
_cell_angle_beta 103.79
_cell_angle_gamma 24.99
loop_
_symmetry_equiv_pos_as_xyz
'x,y,z'
loop_
_atom_site_label
_atom_site_fract_x
_atom_site_fract_y
_atom_site_fract_z
Br1 0.166 0.166 0.357
Br2 0.500 0.500 0.500
Br3 0.834 0.834 0.643
C1 0.500 0.500 0.000
Cl1 0.830 0.830 0.153
Cl2 0.170 0.170 0.847
La1 0.646 0.646 0.084
La2 0.354 0.354 0.916
Pr1 0.997 0.997 0.206
Pr2 0.003 0.003 0.794
```

Calculated values
- energy above the most stable polymorph in this dataset (eV/f.u.) = 0.03
- ρ (Mg/m³) = 4.922
- space-group type = C2/m

=====

Record 12
Compound: La2Pr2CBr2Cl3
Source: OQMD via LeMat-Bulk
Functional: PBE
Structure: relaxed

```
data_La2Pr2CBr2Cl3
_symmetry_space_group_name_H-M 'P 1'
_symmetry_Int_Tables_number 1
_cell_length_a 9.491
_cell_length_b 9.491
_cell_length_c 8.299
_cell_angle_alpha 104.44
_cell_angle_beta 104.44
_cell_angle_gamma 24.15
loop_
_symmetry_equiv_pos_as_xyz
'x,y,z'
loop_
_atom_site_label
_atom_site_fract_x
_atom_site_fract_y
_atom_site_fract_z
Br1 0.829 0.829 0.169
Br2 0.171 0.171 0.831
C1 0.500 0.500 0.000
Cl1 0.162 0.162 0.341
Cl2 0.500 0.500 0.500
Cl3 0.838 0.838 0.659
La1 0.000 0.000 0.217
La2 0.000 0.000 0.783
Pr1 0.642 0.642 0.085
Pr2 0.358 0.358 0.915
```

Calculated values
- energy above the most stable polymorph in this dataset (eV/f.u.) = 0.03
- ρ (Mg/m³) = 4.704
- space-group type = C2/m